1 | The following is a DFT calculation (GGA-PBE) of a geometry-optimized AlGaOs3 structure.

V: 18.14 A^3/atom
crystal system: cubic

The structure in CIF format:
```
data_AlGaOs3
_cell_length_a 4.493
_cell_length_b 4.493
_cell_length_c 4.493
_cell_angle_alpha 90.00
_cell_angle_beta 90.00
_cell_angle_gamma 90.00
_space_group_name_H-M_alt 'P m -3 m'
_space_group_IT_number 221
_space_group_name_Hall '-P 4 2 3'
loop_
_atom_site_label
_atom_site_type_symbol
_atom_site_fract_x
_atom_site_fract_y
_atom_site_fract_z
Al1 Al 0.000 0.000 0.000
Ga1 Ga 0.500 0.500 0.500
Os1 Os 0.000 0.500 0.500
```

=====

2 | The following is a DFT calculation (GGA-PBE) of a geometry-optimized AlGaOs3 structure.

V: 17.43 A^3/atom
crystal system: cubic

The structure in CIF format:
```
data_AlGaOs3
_cell_length_a 4.434
_cell_length_b 4.434
_cell_length_c 4.434
_cell_angle_alpha 90.00
_cell_angle_beta 90.00
_cell_angle_gamma 90.00
_space_group_name_H-M_alt 'P m -3 m'
_space_group_IT_number 221
_space_group_name_Hall '-P 4 2 3'
loop_
_atom_site_label
_atom_site_type_symbol
_atom_site_fract_x
_atom_site_fract_y
_atom_site_fract_z
Al1 Al 0.000 0.000 0.000
Ga1 Ga 0.500 0.500 0.500
Os1 Os 0.000 0.000 0.500
```

=====

What should be chosen as the most stable of them? Choose 2.

=====

1 | The following is a DFT calculation (GGA-PBE) of a geometry-optimized ScAlGaOs structure.

V: 15.54 A^3/atom
crystal system: cubic

The structure in CIF format:
```
data_ScAlGaOs
_cell_length_a 6.289
_cell_length_b 6.289
_cell_length_c 6.289
_cell_angle_alpha 90.00
_cell_angle_beta 90.00
_cell_angle_gamma 90.00
_space_group_name_H-M_alt 'F -4 3 m'
_space_group_IT_number 216
_space_group_name_Hall 'F -4 2 3'
loop_
_atom_site_label
_atom_site_type_symbol
_atom_site_fract_x
_atom_site_fract_y
_atom_site_fract_z
Sc1 Sc 0.000 0.000 0.000
Al1 Al 0.250 0.250 0.750
Ga1 Ga 0.250 0.250 0.250
Os1 Os 0.000 0.000 0.500
```

=====

2 | The following is a DFT calculation (GGA-PBE) of a geometry-optimized ScAlGaOs structure.

V: 15.86 A^3/atom
crystal system: cubic

The structure in CIF format:
```
data_ScAlGaOs
_cell_length_a 6.330
_cell_length_b 6.330
_cell_length_c 6.330
_cell_angle_alpha 90.00
_cell_angle_beta 90.00
_cell_angle_gamma 90.00
_space_group_name_H-M_alt 'F -4 3 m'
_space_group_IT_number 216
_space_group_name_Hall 'F -4 2 3'
loop_
_atom_site_label
_atom_site_type_symbol
_atom_site_fract_x
_atom_site_fract_y
_atom_site_fract_z
Sc1 Sc 0.000 0.000 0.000
Al1 Al 0.000 0.000 0.500
Ga1 Ga 0.250 0.250 0.750
Os1 Os 0.250 0.250 0.250
```

=====

What should be chosen as the most stable of them? Choose 1.

=====

1 | The following is a DFT calculation (GGA-PBE) of a geometry-optimized AlGaP structure.

V: 22.32 A^3/atom
crystal system: trigonal

The structure in CIF format:
```
data_AlGaP
_cell_length_a 3.8585
_cell_length_b 3.8585
_cell_length_c 31.1572
_cell_angle_alpha 90.00
_cell_angle_beta 90.00
_cell_angle_gamma 120.00
_space_group_name_H-M_alt 'R 3 m'
_space_group_IT_number 160
_space_group_name_Hall 'R 3 -2"'
loop_
_atom_site_label
_atom_site_type_symbol
_atom_site_fract_x
_atom_site_fract_y
_atom_site_fract_z
Al1 Al 0.0000 0.0000 0.0000
Al2 Al 0.0000 0.0000 0.0841
Ga1 Ga 0.0000 0.0000 0.5638
Ga2 Ga 0.0000 0.0000 0.8533
P1 P 0.0000 0.0000 0.6384
P2 P 0.0000 0.0000 0.7789
```

=====

2 | The following is a DFT calculation (GGA-PBE) of a geometry-optimized AlGaP structure.

V: 22.14 A^3/atom
crystal system: trigonal

The structure in CIF format:
```
data_AlGaP
_cell_length_a 3.8311
_cell_length_b 3.8311
_cell_length_c 10.4504
_cell_angle_alpha 90.00
_cell_angle_beta 90.00
_cell_angle_gamma 120.00
_space_group_name_H-M_alt 'P 3 m 1'
_space_group_IT_number 156
loop_
_space_group_symop_operation_xyz
'x,y,z'
'-y,x-y,z'
'-x+y,-x,z'
'-y,-x,z'
'-x+y,y,z'
'x,x-y,z'
loop_
_atom_site_label
_atom_site_type_symbol
_atom_site_fract_x
_atom_site_fract_y
_atom_site_fract_z
Al1 Al 0.0000 0.0000 0.0000
Al2 Al 0.3333 0.6667 0.3074
Ga1 Ga 0.3333 0.6667 0.5511
Ga2 Ga 0.6667 0.3333 0.6942
P1 P 0.0000 0.0000 0.2269
P2 P 0.6667 0.3333 0.9201
```

=====

What should be chosen as the most stable of them? Choose 2.

=====

1 | The following is a DFT calculation (GGA-PBE) of a geometry-optimized AlGa2P structure.

V: 21.65 A^3/atom
crystal system: trigonal

The structure in CIF format:
```
data_AlGa2P
_cell_length_a 3.5705
_cell_length_b 3.5705
_cell_length_c 23.5324
_cell_angle_alpha 90.00
_cell_angle_beta 90.00
_cell_angle_gamma 120.00
_space_group_name_H-M_alt 'R -3 m'
_space_group_IT_number 166
_space_group_name_Hall '-R 3 2"'
loop_
_atom_site_label
_atom_site_type_symbol
_atom_site_fract_x
_atom_site_fract_y
_atom_site_fract_z
Al1 Al 0.0000 0.0000 0.0000
Ga1 Ga 0.0000 0.0000 0.1075
P1 P 0.0000 0.0000 0.5000
```

=====

2 | The following is a DFT calculation (GGA-PBE) of a geometry-optimized AlGa2P structure.

V: 17.61 A^3/atom
crystal system: cubic

The structure in CIF format:
```
data_AlGa2P
_cell_length_a 6.556
_cell_length_b 6.556
_cell_length_c 6.556
_cell_angle_alpha 90.00
_cell_angle_beta 90.00
_cell_angle_gamma 90.00
_space_group_name_H-M_alt 'F m -3 m'
_space_group_IT_number 225
_space_group_name_Hall '-F 4 2 3'
loop_
_atom_site_label
_atom_site_type_symbol
_atom_site_fract_x
_atom_site_fract_y
_atom_site_fract_z
Al1 Al 0.000 0.000 0.000
Ga1 Ga 0.250 0.250 0.250
P1 P 0.000 0.000 0.500
```

=====

What should be chosen as the most stable of them? Choose 1.